First-principles (GGA+U) data for YTaCr2O6 after structural relaxation, as listed in the Alexandria database.

Spin magnetization in μB/f.u.: 6.0
E in eV per cell: -86.9
Symmetry: P1 (1)

a = 5.3250 Å, b = 5.3302 Å, c = 5.6871 Å
α = 65.19°, β = 89.80°, γ = 60.17°
Closest atoms and distances in Å follow each position.
Fractional coordinates of all 10 atoms:
Y  0.0000  0.0000  0.0000  5 O 2.20-2.37
Ta  0.4991  0.0071  0.4678  5 O 1.93-2.08
Cr  0.2848  0.4288  0.8711  4 O 2.08-2.21
Cr  0.7893  0.4270  0.3989  6 O 2.03-2.16
O  0.0929  0.4932  0.1891  2 Cr 2.09-2.14, 1 Ta 2.21, 1 Y 2.22
O  0.2035  0.9567  0.6436  1 Ta 1.93, 1 Cr 2.16
O  0.4256  0.8955  0.1873  1 Ta 2.02, 1 Cr 2.03, 1 Y 2.20
O  0.5782  0.2293  0.6572  1 Ta 2.08, 2 Cr 2.10-2.11
O  0.6661  0.2403  0.1887  1 Ta 2.07, 2 Cr 2.12-2.21, 1 Y 2.20
O  0.8759  0.5607  0.6732  1 Ta 2.00, 2 Cr 2.08-2.10